i | Below is a geometry-optimized Ho2ErHf structure, with properties calculated at the GGA-PBE level.

Computed properties:
- DOS(E_F) (states/eV/f.u.) = 4.6

abc: 4.817 4.817 4.810
angles: 90.00 90.00 90.00
Space group P4/mmm (No. 123)
Asymmetric unit:
Ho: 0.000 0.500 0.000 [2 per cell]
Er: 0.000 0.000 0.500 [1 per cell]
Hf: 0.500 0.500 0.500 [1 per cell]

---

ii | Below is a geometry-optimized Ho2ErHf structure, with properties calculated at the GGA-PBE level.

Computed properties:
- DOS(E_F) (states/eV/f.u.) = 6.6

abc: 3.3180 3.3180 35.7247
angles: 90.00 90.00 120.00
Space group R-3m (No. 166, hexagonal axes)
Asymmetric unit:
Ho: 0.0000 0.0000 0.0870 [6 per cell]
Er: 0.0000 0.0000 0.5000 [3 per cell]
Hf: 0.0000 0.0000 0.0000 [3 per cell]

---

Question: of the structures shown, which is the least stable? Reply: ii.